Below is a geometry-optimized La2ErScP4 structure, with properties calculated at the PBE-GGA level.

Results
Calculated density, g/cm3: 5.33
Raw total energy, eV/cell: -54.5
Spin magnetization, μB/f.u.: 0.00
DFT formation energy, eV per atom: -1.5175

abc: 7.041 4.080 7.058
angles: 90.00 109.52 90.00
Space group P2/m (No. 10)
Asymmetric unit:
La (0.000, 0.000, 0.000) x1
La (0.000, 0.500, 0.500) x1
Er (0.500, 0.000, 0.500) x1
Sc (0.500, 0.500, 0.000) x1
P (0.271, 0.500, 0.252) x2
P (0.274, 0.000, 0.763) x2